The following is a PBE calculation of a relaxed structure of Be3Ni2Os2, from OQMD.

Results
- DFT total energy (eV/atom) = -6.35

Structure (CIF):
```
data_Be3Ni2Os2
_chemical_formula_sum 'Be3 Ni2 Os2'
_cell_length_a 6.3910
_cell_length_b 6.3910
_cell_length_c 6.3910
_cell_angle_alpha 34.56
_cell_angle_beta 34.56
_cell_angle_gamma 34.56
_symmetry_space_group_name_H-M 'P 1'
_symmetry_Int_Tables_number 1
loop_
_symmetry_equiv_pos_as_xyz
'x,y,z'
loop_
_atom_site_label
_atom_site_type_symbol
_atom_site_fract_x
_atom_site_fract_y
_atom_site_fract_z
Be1 Be 0.0000 0.0000 0.0000
Be2 Be 0.2530 0.2530 0.2530
Be3 Be 0.7421 0.7421 0.7421
Ni1 Ni 0.3746 0.3746 0.3746
Ni2 Ni 0.8658 0.8658 0.8658
Os1 Os 0.1299 0.1299 0.1299
Os2 Os 0.6130 0.6130 0.6130
```